Entry from Alexandria via LeMat-Bulk: a relaxed structure of Tb2SmHo2Er2 (PBE).

Cell lengths 17.539, 3.487, 8.327 Å; angles 90.00, 116.70, 90.00 degrees
Space group C2/m (No. 12)
Asymmetric unit:
Tb 0.149 0.000 0.390 x4
Sm 0.000 0.500 0.500 x2
Ho 0.071 0.000 0.910 x4
Er 0.211 0.500 0.798 x4

Results
Formation energy from the elements: 1.04 eV/f.u.
E_tot: -0.3279 Ry per atom

---

Entry from Alexandria via LeMat-Bulk: a relaxed structure of La2Ho5Tm4 (PBE).

Cell lengths 23.786, 3.426, 8.738 Å; angles 90.00, 97.02, 90.00 degrees
Space group C2/m (No. 12)
Asymmetric unit:
La 0.094 0.000 0.248 x4
Ho 0.000 0.500 0.500 x2
Ho 0.140 0.000 0.627 x4
Ho 0.235 0.000 0.325 x4
Tm 0.046 0.000 0.863 x4
Tm 0.178 0.500 0.974 x4

Results
Formation energy from the elements: 1.72 eV/f.u.
E_tot: -0.3268 Ry per atom
Energy above the most stable polymorph in this dataset: 0 meV per atom